The following is a DFT calculation (PBE) of an optimized crystal structure of Ce2HoCrN5.

Values from the calculation:
Symmetry: Cmc2_1
Total energy, eV per atom: -8.690
Fermi-level density of states, states/eV per atom: 0.4374

a = 7.108 Å, b = 7.108 Å, c = 10.430 Å
α = 90.00°, β = 90.00°, γ = 152.37°
Sites, in units of the cell vectors:
1 Ce 0.120 0.880 0.500
2 Ce 0.145 0.855 0.097
3 Ce 0.855 0.145 0.597
4 Ce 0.880 0.120 0.000
5 Ho 0.203 0.797 0.804
6 Ho 0.797 0.203 0.304
7 Cr 0.500 0.500 0.269
8 Cr 0.500 0.500 0.769
9 N 0.033 0.967 0.833
10 N 0.287 0.713 0.464
11 N 0.309 0.691 0.151
12 N 0.371 0.629 0.812
13 N 0.487 0.513 0.599
14 N 0.513 0.487 0.099
15 N 0.629 0.371 0.312
16 N 0.691 0.309 0.651
17 N 0.713 0.287 0.964
18 N 0.967 0.033 0.333

***

The following is a DFT calculation (PBE) of an optimized crystal structure of Ce7CrI12.

Values from the calculation:
Symmetry: R-3
Total energy, eV per atom: -4.550
Fermi-level density of states, states/eV per atom: 2.1649

a = 9.966 Å, b = 9.966 Å, c = 9.966 Å
α = 107.44°, β = 107.44°, γ = 107.44°
Sites, in units of the cell vectors:
1 Ce 0.000 0.000 0.000
2 Ce 0.200 0.398 0.469
3 Ce 0.398 0.469 0.200
4 Ce 0.469 0.200 0.398
5 Ce 0.531 0.800 0.602
6 Ce 0.602 0.531 0.800
7 Ce 0.800 0.602 0.531
8 Cr 0.500 0.500 0.500
9 I 0.030 0.348 0.113
10 I 0.113 0.030 0.348
11 I 0.183 0.727 0.575
12 I 0.273 0.425 0.817
13 I 0.348 0.113 0.030
14 I 0.425 0.817 0.273
15 I 0.575 0.183 0.727
16 I 0.652 0.887 0.970
17 I 0.727 0.575 0.183
18 I 0.817 0.273 0.425
19 I 0.887 0.970 0.652
20 I 0.970 0.652 0.887